This record from the Alexandria database describes crystalline Sm7Tl2Co2 at its relaxed geometry. The functional is GGA-PBE.

Cell lengths 9.883, 9.883, 9.883 Å; angles 158.58, 66.57, 117.82 degrees
Fractional coordinates of all 11 atoms:
1 Sm 0.000 0.000 0.000
2 Sm 0.054 0.372 0.682
3 Sm 0.063 0.715 0.347
4 Sm 0.368 0.715 0.653
5 Sm 0.427 0.563 0.864
6 Sm 0.691 0.372 0.318
7 Sm 0.699 0.563 0.136
8 Tl 0.328 0.328 0.000
9 Tl 0.735 0.235 0.500
10 Co 0.297 0.061 0.236
11 Co 0.825 0.061 0.764

## Properties
Its total energy is -4.8936 eV per atom. As for the formation energy: -1.85 eV per formula unit. As for the space-group type: Imm2, No. 44.